No. 1
## K6Rb2O (GGA-PBE)

Data for crystalline K6Rb2O at its relaxed geometry.

Magnetic moment in Bohr magnetons per cell: 0.0
ΔE to the lowest computed polymorph in meV per atom: 43.1
Space-group type: R3m
Formation energy from raw total energies in eV/atom: -0.28

abc: 9.3934 9.3934 9.3934
angles: 57.34 57.34 57.34
With the nearest neighbours (Å) after each atom.
Atoms (fractional coordinates):
K 0.0531 0.0531 0.4573  1 O 2.70
K 0.0531 0.4573 0.0531  1 O 2.70
K 0.1945 0.1945 0.6110  1 O 2.77
K 0.1945 0.6110 0.1945  1 O 2.77
K 0.4573 0.0531 0.0531  1 O 2.70
K 0.6110 0.1945 0.1945  1 O 2.77
Rb 0.5185 0.5185 0.5185  9 K 4.53-4.85, 1 Rb 4.66
Rb 0.7172 0.7172 0.7172  9 K 4.47-4.68, 1 Rb 4.66
O 0.2600 0.2600 0.2600  6 K 2.70-2.77


No. 2
## K3RbO (GGA-PBE)

Data for crystalline K3RbO at its relaxed geometry.

Magnetic moment in Bohr magnetons per cell: 0.0
ΔE to the lowest computed polymorph in meV per atom: 4.7
Space-group type: P2_1/c
Formation energy from raw total energies in eV/atom: -0.60

abc: 10.8777 7.7273 15.6180
angles: 90.00 132.68 90.00
With the nearest neighbours (Å) after each atom.
Atoms (fractional coordinates):
K 0.0040 0.2155 0.4715  2 O 2.71-2.72
K 0.0040 0.2845 0.9715  2 O 2.71-2.72
K 0.2852 0.5918 0.9827  1 O 2.58
K 0.2852 0.9082 0.4827  1 O 2.58
K 0.4959 0.7469 0.7831  2 O 2.77-2.78
K 0.4959 0.7531 0.2831  2 O 2.77-2.78
K 0.5041 0.2469 0.7169  2 O 2.77-2.78
K 0.5041 0.2531 0.2169  2 O 2.77-2.78
K 0.7148 0.0918 0.5173  1 O 2.58
K 0.7148 0.4082 0.0173  1 O 2.58
K 0.9960 0.7155 0.0285  2 O 2.71-2.72
K 0.9960 0.7845 0.5285  2 O 2.71-2.72
Rb 0.2486 0.0888 0.7950  1 O 2.76
Rb 0.2486 0.4112 0.2950  1 O 2.76
Rb 0.7514 0.5888 0.7050  1 O 2.76
Rb 0.7514 0.9112 0.2050  1 O 2.76
O 0.2613 0.5021 0.1304  5 K 2.58-2.78, 1 Rb 2.76
O 0.2613 0.9979 0.6304  5 K 2.58-2.78, 1 Rb 2.76
O 0.7387 0.0021 0.3696  5 K 2.58-2.78, 1 Rb 2.76
O 0.7387 0.4979 0.8696  5 K 2.58-2.78, 1 Rb 2.76